# Hf2PAu (PBE, optimized geometry)
data_Hf2PAu
_chemical_formula_sum 'Hf8 P4 Au4'
_cell_length_a 7.198
_cell_length_b 7.198
_cell_length_c 6.142
_cell_angle_alpha 90.00
_cell_angle_beta 90.00
_cell_angle_gamma 90.00
_space_group_name_H-M_alt 'I -4 2 d'
_space_group_IT_number 122
_space_group_name_Hall 'I -4 2bw'
loop_
_atom_site_label
_atom_site_type_symbol
_atom_site_fract_x
_atom_site_fract_y
_atom_site_fract_z
Hf1 Hf 0.229 0.250 0.125
P1 P 0.000 0.000 0.000
Au1 Au 0.000 0.000 0.500
# Raw total energy, eV/atom: -7.602
# Formation energy from the elements, eV per formula unit: -1.813
# Density, kg/m3: 12208
# Total magnetization, Bohr magnetons per cell: 0.00

# Dy6YNi2 (PBE, optimized geometry)
data_Dy6YNi2
_chemical_formula_sum 'Dy24 Y4 Ni8'
_cell_length_a 9.093
_cell_length_b 10.163
_cell_length_c 10.311
_cell_angle_alpha 90.00
_cell_angle_beta 90.00
_cell_angle_gamma 90.00
_space_group_name_H-M_alt 'I m m m'
_space_group_IT_number 71
_space_group_name_Hall '-I 2 2'
loop_
_atom_site_label
_atom_site_type_symbol
_atom_site_fract_x
_atom_site_fract_y
_atom_site_fract_z
Dy1 Dy 0.000 0.218 0.225
Dy2 Dy 0.194 0.500 0.188
Dy3 Dy 0.197 0.310 0.500
Y1 Y 0.000 0.000 0.000
Y2 Y 0.000 0.000 0.500
Ni1 Ni 0.000 0.362 0.000
Ni2 Ni 0.000 0.500 0.380
# Raw total energy, eV/atom: -5.195
# Formation energy from the elements, eV per formula unit: -1.118
# Density, kg/m3: 8235
# Total magnetization, Bohr magnetons per cell: 0.00

> Among the records above, which one has the highest raw total energy?

Dy6YNi2

> The lowest formation energy from the elements belongs to which entry?

Hf2PAu